Record 1
KGa3Pt3 after structural relaxation, computed with GGA-PBE.

Properties
The formation enthalpy at 0 K comes out at -0.405 eV per atom. Its energy above the most stable polymorph in this dataset is 0.0342 eV per atom. Its space group is Pm-3n, No. 223. The value obtained for the volume is 24.16 Å³ per atom.

CIF file:
```
data_KGa3Pt3
_cell_length_a 6.968
_cell_length_b 6.968
_cell_length_c 6.968
_cell_angle_alpha 90.00
_cell_angle_beta 90.00
_cell_angle_gamma 90.00
_symmetry_space_group_name_H-M 'P 1'
_symmetry_Int_Tables_number 1
_symmetry_space_group_name_Hall 'P 1'
loop_
_atom_site_label
_atom_site_fract_x
_atom_site_fract_y
_atom_site_fract_z
Pt1 0.500 0.750 0.000
Pt2 0.250 0.000 0.500
Pt3 0.000 0.500 0.750
Pt4 0.500 0.250 0.000
Pt5 0.000 0.500 0.250
Pt6 0.750 0.000 0.500
Ga1 0.750 0.500 0.000
Ga2 0.500 0.000 0.750
Ga3 0.500 0.000 0.250
Ga4 0.000 0.750 0.500
Ga5 0.000 0.250 0.500
Ga6 0.250 0.500 0.000
K1 0.000 0.000 0.000
K2 0.500 0.500 0.500
```

***

Record 2
KGa4Pt2 after structural relaxation, computed with GGA-PBE.

Properties
The formation enthalpy at 0 K comes out at -0.432 eV per atom. Its energy above the most stable polymorph in this dataset is 0.0000 eV per atom. Its space group is Pnma, No. 62. The value obtained for the volume is 18.93 Å³ per atom.

CIF file:
```
data_KGa4Pt2
_cell_length_a 4.476
_cell_length_b 6.776
_cell_length_c 17.480
_cell_angle_alpha 90.00
_cell_angle_beta 90.00
_cell_angle_gamma 90.00
_symmetry_space_group_name_H-M 'P 1'
_symmetry_Int_Tables_number 1
_symmetry_space_group_name_Hall 'P 1'
loop_
_atom_site_label
_atom_site_fract_x
_atom_site_fract_y
_atom_site_fract_z
Ga1 0.250 0.813 0.187
Ga2 0.250 0.345 0.036
Ga3 0.750 0.721 0.311
Ga4 0.250 0.687 0.687
Ga5 0.750 0.523 0.568
Ga6 0.250 0.023 0.932
Ga7 0.750 0.313 0.313
Ga8 0.250 0.279 0.689
Ga9 0.250 0.221 0.189
Ga10 0.750 0.845 0.464
Ga11 0.250 0.477 0.432
Ga12 0.750 0.187 0.813
Ga13 0.750 0.655 0.964
Ga14 0.750 0.977 0.068
Ga15 0.750 0.779 0.811
Ga16 0.250 0.155 0.536
K1 0.750 0.989 0.641
K2 0.750 0.511 0.141
K3 0.250 0.011 0.359
K4 0.250 0.489 0.859
Pt1 0.250 0.742 0.535
Pt2 0.250 0.518 0.287
Pt3 0.250 0.758 0.035
Pt4 0.750 0.258 0.465
Pt5 0.750 0.018 0.213
Pt6 0.250 0.982 0.787
Pt7 0.750 0.482 0.713
Pt8 0.750 0.242 0.965
```

***

Record 3
KGa3Pt after structural relaxation, computed with GGA-PBE.

Properties
The formation enthalpy at 0 K comes out at 1.465 eV per atom. Its energy above the most stable polymorph in this dataset is 1.8252 eV per atom. Its space group is Pm-3m, No. 221. The value obtained for the volume is 32.44 Å³ per atom.

CIF file:
```
data_KGa3Pt
_cell_length_a 5.454
_cell_length_b 5.454
_cell_length_c 5.454
_cell_angle_alpha 90.00
_cell_angle_beta 90.00
_cell_angle_gamma 90.00
_symmetry_space_group_name_H-M 'P 1'
_symmetry_Int_Tables_number 1
_symmetry_space_group_name_Hall 'P 1'
loop_
_atom_site_label
_atom_site_fract_x
_atom_site_fract_y
_atom_site_fract_z
Ga1 0.500 0.000 0.000
Ga2 0.000 0.500 0.000
Ga3 0.000 0.000 0.500
K1 0.000 0.000 0.000
Pt1 0.500 0.500 0.500
```

***

Record 4
K3Ga6Pt5 after structural relaxation, computed with GGA-PBE.

Properties
The formation enthalpy at 0 K comes out at -0.426 eV per atom. Its space group is Pmmn, No. 59. The value obtained for the volume is 24.30 Å³ per atom.

CIF file:
```
data_K3Ga6Pt5
_cell_length_a 4.245
_cell_length_b 12.036
_cell_length_c 13.318
_cell_angle_alpha 90.00
_cell_angle_beta 90.00
_cell_angle_gamma 90.00
_symmetry_space_group_name_H-M 'P 1'
_symmetry_Int_Tables_number 1
_symmetry_space_group_name_Hall 'P 1'
loop_
_atom_site_label
_atom_site_fract_x
_atom_site_fract_y
_atom_site_fract_z
Pt1 0.000 0.912 0.000
Pt2 0.000 0.887 0.671
Pt3 0.000 0.509 0.109
Pt4 0.500 0.113 0.171
Pt5 0.500 0.491 0.391
Pt6 0.500 0.491 0.609
Pt7 0.000 0.509 0.891
Pt8 0.500 0.088 0.500
Pt9 0.000 0.887 0.329
Pt10 0.500 0.113 0.829
K1 0.500 0.743 0.500
K2 0.000 0.249 0.660
K3 0.000 0.249 0.340
K4 0.000 0.257 0.000
K5 0.500 0.751 0.840
K6 0.500 0.751 0.160
Ga1 0.500 0.020 0.000
Ga2 0.500 0.997 0.330
Ga3 0.000 0.980 0.500
Ga4 0.500 0.450 0.796
Ga5 0.500 0.450 0.204
Ga6 0.000 0.003 0.170
Ga7 0.500 0.518 0.000
Ga8 0.000 0.003 0.830
Ga9 0.000 0.550 0.704
Ga10 0.500 0.997 0.670
Ga11 0.000 0.550 0.296
Ga12 0.000 0.482 0.500
```

***

Record 5
K2Ga5Pt3 after structural relaxation, computed with GGA-PBE.

Properties
The formation enthalpy at 0 K comes out at -0.384 eV per atom. Its space group is C2/c, No. 15. The value obtained for the volume is 23.18 Å³ per atom.

CIF file:
```
data_K2Ga5Pt3
_cell_length_a 5.295
_cell_length_b 9.755
_cell_length_c 9.755
_cell_angle_alpha 109.75
_cell_angle_beta 96.99
_cell_angle_gamma 96.99
_symmetry_space_group_name_H-M 'P 1'
_symmetry_Int_Tables_number 1
_symmetry_space_group_name_Hall 'P 1'
loop_
_atom_site_label
_atom_site_fract_x
_atom_site_fract_y
_atom_site_fract_z
Pt1 0.931 0.249 0.406
Pt2 0.069 0.751 0.594
Pt3 0.569 0.594 0.751
Pt4 0.431 0.406 0.249
Pt5 0.750 0.035 0.965
Pt6 0.250 0.965 0.035
Ga1 0.064 0.012 0.783
Ga2 0.750 0.498 0.502
Ga3 0.972 0.276 0.158
Ga4 0.436 0.217 0.988
Ga5 0.564 0.783 0.012
Ga6 0.250 0.502 0.498
Ga7 0.528 0.842 0.724
Ga8 0.028 0.724 0.842
Ga9 0.472 0.158 0.276
Ga10 0.936 0.988 0.217
K1 0.949 0.613 0.178
K2 0.449 0.178 0.613
K3 0.551 0.822 0.387
K4 0.051 0.387 0.822
```

***

Record 6
KGa12Pt6 after structural relaxation, computed with GGA-PBE.

Properties
The formation enthalpy at 0 K comes out at -0.535 eV per atom. Its space group is R-3m, No. 166. The value obtained for the volume is 17.98 Å³ per atom.

CIF file:
```
data_KGa12Pt6
_cell_length_a 7.305
_cell_length_b 7.305
_cell_length_c 7.305
_cell_angle_alpha 104.89
_cell_angle_beta 104.89
_cell_angle_gamma 104.89
_symmetry_space_group_name_H-M 'P 1'
_symmetry_Int_Tables_number 1
_symmetry_space_group_name_Hall 'P 1'
loop_
_atom_site_label
_atom_site_fract_x
_atom_site_fract_y
_atom_site_fract_z
Ga1 0.886 0.500 0.114
Ga2 0.405 0.141 0.405
Ga3 0.405 0.405 0.141
Ga4 0.595 0.859 0.595
Ga5 0.500 0.114 0.886
Ga6 0.114 0.886 0.500
Ga7 0.114 0.500 0.886
Ga8 0.500 0.886 0.114
Ga9 0.141 0.405 0.405
Ga10 0.886 0.114 0.500
Ga11 0.859 0.595 0.595
Ga12 0.595 0.595 0.859
Pt1 0.723 0.723 0.298
Pt2 0.702 0.277 0.277
Pt3 0.277 0.702 0.277
Pt4 0.723 0.298 0.723
Pt5 0.277 0.277 0.702
Pt6 0.298 0.723 0.723
K1 0.000 0.000 0.000
```

***

Record 7
K2GaPt2 after structural relaxation, computed with GGA-PBE.

Properties
The formation enthalpy at 0 K comes out at -0.266 eV per atom. Its energy above the most stable polymorph in this dataset is 0.0786 eV per atom. Its space group is P4/mbm, No. 127. The value obtained for the volume is 23.78 Å³ per atom.

CIF file:
```
data_K2GaPt2
_cell_length_a 6.517
_cell_length_b 6.517
_cell_length_c 5.599
_cell_angle_alpha 90.00
_cell_angle_beta 90.00
_cell_angle_gamma 90.00
_symmetry_space_group_name_H-M 'P 1'
_symmetry_Int_Tables_number 1
_symmetry_space_group_name_Hall 'P 1'
loop_
_atom_site_label
_atom_site_fract_x
_atom_site_fract_y
_atom_site_fract_z
K1 0.325 0.175 0.500
K2 0.825 0.325 0.500
K3 0.175 0.675 0.500
K4 0.675 0.825 0.500
Ga1 0.000 0.000 0.000
Ga2 0.500 0.500 0.000
Pt1 0.358 0.858 0.000
Pt2 0.858 0.642 0.000
Pt3 0.142 0.358 0.000
Pt4 0.642 0.142 0.000
```

***

Record 8
KGa6Pt4 after structural relaxation, computed with GGA-PBE.

Properties
The formation enthalpy at 0 K comes out at -0.535 eV per atom. Its space group is I-42m, No. 121. The value obtained for the volume is 19.50 Å³ per atom.

CIF file:
```
data_KGa6Pt4
_cell_length_a 6.711
_cell_length_b 6.711
_cell_length_c 6.711
_cell_angle_alpha 90.40
_cell_angle_beta 119.77
_cell_angle_gamma 119.77
_symmetry_space_group_name_H-M 'P 1'
_symmetry_Int_Tables_number 1
_symmetry_space_group_name_Hall 'P 1'
loop_
_atom_site_label
_atom_site_fract_x
_atom_site_fract_y
_atom_site_fract_z
Pt1 0.657 0.417 0.417
Pt2 0.000 0.240 0.583
Pt3 0.000 0.583 0.240
Pt4 0.343 0.760 0.760
Ga1 0.500 0.500 0.000
Ga2 0.000 0.881 0.524
Ga3 0.000 0.524 0.881
Ga4 0.357 0.476 0.476
Ga5 0.643 0.119 0.119
Ga6 0.500 0.000 0.500
K1 0.000 0.000 0.000
```

***

Record 9
KGa3Pt3 after structural relaxation, computed with GGA-PBE.

Properties
The formation enthalpy at 0 K comes out at -0.389 eV per atom. Its energy above the most stable polymorph in this dataset is 0.0503 eV per atom. Its space group is P2_13, No. 198. The value obtained for the volume is 21.10 Å³ per atom.

CIF file:
```
data_KGa3Pt3
_cell_length_a 8.391
_cell_length_b 8.391
_cell_length_c 8.391
_cell_angle_alpha 90.00
_cell_angle_beta 90.00
_cell_angle_gamma 90.00
_symmetry_space_group_name_H-M 'P 1'
_symmetry_Int_Tables_number 1
_symmetry_space_group_name_Hall 'P 1'
loop_
_atom_site_label
_atom_site_fract_x
_atom_site_fract_y
_atom_site_fract_z
Pt1 0.083 0.417 0.583
Pt2 0.630 0.370 0.870
Pt3 0.741 0.740 0.740
Pt4 0.417 0.583 0.083
Pt5 0.760 0.259 0.241
Pt6 0.917 0.917 0.917
Pt7 0.870 0.630 0.370
Pt8 0.259 0.241 0.760
Pt9 0.583 0.083 0.417
Pt10 0.370 0.870 0.630
Pt11 0.240 0.759 0.259
Pt12 0.130 0.130 0.130
Ga1 0.859 0.200 0.969
Ga2 0.469 0.641 0.800
Ga3 0.641 0.800 0.469
Ga4 0.359 0.300 0.031
Ga5 0.531 0.141 0.700
Ga6 0.800 0.469 0.641
Ga7 0.300 0.031 0.359
Ga8 0.200 0.969 0.859
Ga9 0.141 0.700 0.531
Ga10 0.700 0.531 0.141
Ga11 0.969 0.859 0.200
Ga12 0.031 0.359 0.300
K1 0.942 0.058 0.558
K2 0.058 0.558 0.942
K3 0.558 0.942 0.058
K4 0.442 0.442 0.442
```

***

Record 10
KGa2Pt4 after structural relaxation, computed with GGA-PBE.

Properties
The formation enthalpy at 0 K comes out at -0.487 eV per atom. Its space group is P4_2/mnm, No. 136. The value obtained for the volume is 18.24 Å³ per atom.

CIF file:
```
data_KGa2Pt4
_cell_length_a 4.044
_cell_length_b 7.947
_cell_length_c 7.947
_cell_angle_alpha 90.00
_cell_angle_beta 90.00
_cell_angle_gamma 90.00
_symmetry_space_group_name_H-M 'P 1'
_symmetry_Int_Tables_number 1
_symmetry_space_group_name_Hall 'P 1'
loop_
_atom_site_label
_atom_site_fract_x
_atom_site_fract_y
_atom_site_fract_z
Pt1 0.500 0.589 0.155
Pt2 0.000 0.911 0.655
Pt3 0.500 0.155 0.589
Pt4 0.500 0.845 0.411
Pt5 0.500 0.411 0.845
Pt6 0.000 0.655 0.911
Pt7 0.000 0.345 0.089
Pt8 0.000 0.089 0.345
Ga1 0.000 0.772 0.228
Ga2 0.500 0.728 0.728
Ga3 0.500 0.272 0.272
Ga4 0.000 0.228 0.772
K1 0.500 0.000 0.000
K2 0.000 0.500 0.500
```